Entry 1:
2
Lattice="0.206 -2.843 -2.180 -1.974 -2.921 0.669 -2.762 -0.827 -2.136" Properties=species:S:1:pos:R:3 comment="GaIr, relaxed, DFT GGA-PBE" volume_a3_per_atom=16.3 dft_energy_ev_per_cell=-11.6 pbc="T T T"
Ga 0.000 0.000 0.000
Ir -2.265 -3.295 -1.824


Entry 2:
32
Lattice="5.877 0.000 0.000 0.000 5.877 0.000 0.000 0.000 14.367" Properties=species:S:1:pos:R:3 comment="Ga5Ir3, relaxed, DFT GGA-PBE" volume_a3_per_atom=15.5 de_polymorph_kj_per_mol_atoms=0.0 pbc="T T T"
Ir 2.938 2.938 11.890
Ir 2.938 2.938 2.477
Ir 0.000 2.938 1.240
Ir 0.000 0.000 4.706
Ir 2.938 2.938 7.183
Ir 2.938 0.000 8.424
Ir 0.000 2.938 5.943
Ir 0.000 2.938 10.775
Ir 2.938 0.000 13.127
Ir 0.000 0.000 9.661
Ir 2.938 0.000 3.592
Ir 0.000 0.000 0.000
Ga 2.065 4.530 0.752
Ga 4.744 4.964 2.189
Ga 2.026 1.806 4.994
Ga 5.003 4.285 7.936
Ga 3.928 4.887 10.775
Ga 4.070 2.026 9.372
Ga 3.851 4.070 4.994
Ga 4.530 3.812 13.614
Ga 1.948 0.990 10.775
Ga 0.990 3.928 3.592
Ga 0.873 1.592 7.936
Ga 0.912 4.744 12.178
Ga 4.887 1.948 3.592
Ga 4.285 0.873 6.431
Ga 1.806 3.851 9.372
Ga 3.812 1.346 0.752
Ga 1.132 0.912 2.189
Ga 1.346 2.065 13.614
Ga 1.592 5.003 6.431
Ga 4.964 1.132 12.178


Entry 3:
64
Lattice="7.738 0.000 0.000 0.000 44.113 0.000 0.000 0.000 3.868" Properties=species:S:1:pos:R:3 comment="GaIr15, relaxed, DFT GGA-PBE" volume_a3_per_atom=20.6 de_polymorph_kj_per_mol_atoms=1.2 pbc="T T T"
Ir 0.968 0.968 0.000
Ir 0.956 8.701 0.000
Ir 2.932 31.521 0.000
Ir 4.806 31.521 1.934
Ir 0.956 35.413 1.934
Ir 2.901 2.910 0.000
Ir 6.763 33.474 1.934
Ir 4.836 10.665 1.934
Ir 6.772 4.840 1.934
Ir 0.966 2.903 1.934
Ir 2.901 4.841 1.934
Ir 6.772 39.273 0.000
Ir 0.966 4.840 0.000
Ir 6.779 31.560 0.000
Ir 4.834 37.334 0.000
Ir 2.895 35.382 0.000
Ir 4.836 33.449 0.000
Ir 4.837 41.204 0.000
Ir 0.957 29.676 0.000
Ir 4.836 0.971 0.000
Ir 6.770 0.968 1.934
Ir 0.966 41.211 0.000
Ir 4.843 8.731 0.000
Ir 2.901 39.272 0.000
Ir 6.770 43.145 0.000
Ir 6.782 35.413 0.000
Ir 2.901 41.204 1.934
Ir 6.766 6.770 0.000
Ir 2.932 12.592 1.934
Ir 2.904 6.779 0.000
Ir 6.772 41.211 1.934
Ir 2.902 43.143 0.000
Ir 6.779 12.554 1.934
Ir 0.975 33.474 0.000
Ir 2.895 8.731 1.934
Ir 4.837 4.841 0.000
Ir 2.902 0.971 1.934
Ir 0.957 14.437 1.934
Ir 0.959 12.554 0.000
Ir 6.772 2.903 0.000
Ir 0.966 39.273 1.934
Ir 6.782 8.701 1.934
Ir 0.968 43.145 1.934
Ir 0.959 31.560 1.934
Ir 2.902 33.449 1.934
Ir 4.837 2.910 1.934
Ir 6.781 14.437 0.000
Ir 0.972 6.770 1.934
Ir 4.806 12.592 0.000
Ir 6.763 10.640 0.000
Ir 0.972 37.344 0.000
Ir 4.837 39.272 1.934
Ir 6.766 37.344 1.934
Ir 0.975 10.640 1.934
Ir 2.902 10.665 0.000
Ir 2.904 37.334 1.934
Ir 6.781 29.676 1.934
Ir 4.834 6.779 1.934
Ir 4.843 35.382 1.934
Ir 4.836 43.143 1.934
Ga 5.049 14.565 1.934
Ga 2.689 29.549 1.934
Ga 5.049 29.549 0.000
Ga 2.689 14.565 0.000


Entry 4:
9
Lattice="2.746 0.000 0.000 -1.373 2.378 0.000 0.000 0.000 32.505" Properties=species:S:1:pos:R:3 comment="Ga2Ir7, relaxed, DFT GGA-PBE" volume_a3_per_atom=23.6 dft_energy_ev_per_cell=-67.6 pbc="T T T"
Ga 1.373 0.793 8.968
Ga 0.000 1.585 23.537
Ir 0.000 0.000 0.000
Ir 0.000 0.000 25.815
Ir 0.000 1.585 30.272
Ir 1.373 0.793 28.053
Ir 0.000 1.585 4.452
Ir 0.000 0.000 6.691
Ir 1.373 0.793 2.233


Entry 5:
32
Lattice="5.434 0.000 0.000 0.000 3.863 0.000 -0.002 0.000 35.662" Properties=species:S:1:pos:R:3 comment="GaIr15, relaxed, DFT GGA-PBE" volume_a3_per_atom=23.4 de_polymorph_kj_per_mol_atoms=4.8 pbc="T T T"
Ir 4.755 2.897 2.057
Ir 2.037 2.897 7.543
Ir 3.395 0.966 28.119
Ir 0.679 0.966 25.436
Ir 2.033 2.897 32.231
Ir 3.395 0.966 6.172
Ir 3.416 0.966 8.923
Ir 4.755 2.897 4.815
Ir 3.396 0.966 0.686
Ir 4.756 2.897 32.236
Ir 4.756 2.897 7.542
Ir 0.680 0.966 6.169
Ir 0.676 0.966 3.426
Ir 4.753 2.897 34.971
Ir 0.677 0.966 30.847
Ir 0.678 0.966 33.605
Ir 0.676 0.966 28.121
Ir 4.753 2.897 10.227
Ir 3.393 0.966 33.594
Ir 3.399 0.966 3.432
Ir 2.039 2.897 2.068
Ir 2.036 2.897 4.794
Ir 2.037 2.897 29.491
Ir 4.752 2.897 29.494
Ir 0.679 0.966 0.691
Ir 2.016 2.897 26.740
Ir 0.658 0.966 8.923
Ir 4.775 2.897 26.739
Ir 2.036 2.897 34.976
Ir 3.396 0.966 30.869
Ga 3.394 0.966 25.403
Ga 2.038 2.897 10.259


Entry 6:
6
Lattice="3.835 2.214 6.262 -3.835 2.214 6.262 0.000 -4.428 6.262" Properties=species:S:1:pos:R:3 comment="Ga2Ir, relaxed, DFT GGA-PBE" volume_a3_per_atom=53.2 dft_energy_ev_per_cell=-27.6 pbc="T T T"
Ga 0.000 0.000 7.045
Ga 1.917 1.107 10.176
Ga -1.917 1.107 10.176
Ga 0.000 -2.214 10.176
Ir 0.000 0.000 4.697
Ir 0.000 0.000 9.394


Entry 7:
2
Lattice="3.055 0.000 0.000 0.000 3.055 0.000 0.000 0.000 3.055" Properties=species:S:1:pos:R:3 comment="GaIr, relaxed, DFT GGA-PBE" volume_a3_per_atom=14.3 dft_energy_ev_per_cell=-12.7 pbc="T T T"
Ga 1.528 1.528 1.528
Ir 0.000 0.000 0.000


Entry 8:
32
Lattice="5.880 0.000 0.000 0.000 5.880 0.000 0.000 0.000 15.105" Properties=species:S:1:pos:R:3 comment="Ga5Ir3, relaxed, DFT GGA-PBE" volume_a3_per_atom=16.3 de_polymorph_kj_per_mol_atoms=19.9 pbc="T T T"
Ga 4.033 1.093 3.776
Ga 1.396 2.017 14.246
Ga 1.933 4.022 9.879
Ga 3.864 1.396 0.859
Ga 0.924 1.544 8.411
Ga 4.787 4.033 11.329
Ga 4.022 3.947 5.226
Ga 1.007 1.082 2.327
Ga 1.082 4.873 12.778
Ga 4.798 1.007 12.778
Ga 1.858 1.933 5.226
Ga 2.017 4.484 0.859
Ga 1.093 1.847 11.329
Ga 4.873 4.798 2.327
Ga 4.957 4.336 8.411
Ga 1.847 4.787 3.776
Ga 4.336 0.924 6.694
Ga 3.947 1.858 9.879
Ga 4.484 3.864 14.246
Ga 1.544 4.957 6.694
Ir 2.940 0.000 8.494
Ir 2.940 0.000 14.163
Ir 2.940 2.940 12.479
Ir 2.940 2.940 7.553
Ir 0.000 2.940 3.776
Ir 0.000 2.940 0.942
Ir 2.940 2.940 2.626
Ir 0.000 2.940 6.611
Ir 2.940 0.000 11.329
Ir 0.000 0.000 0.000
Ir 0.000 0.000 4.926
Ir 0.000 0.000 10.179


- What is the formula in the seventh record?
  GaIr